DFT (PBE with a Hubbard U) results for a relaxed structure of KMoF4.

Properties
Total magnetic moment, μB/atom: 0.50
E, eV per cell: -63.69
DOS at the Fermi energy, states/eV per cell: 0.00

Cell lengths 5.3650, 5.8989, 7.2273 Å; angles 74.78, 74.25, 89.68 degrees
Last column: nearest neighbours and their distance in Å.
Element x y z (fractional)
K 0.2069 0.2089 0.0624  4 F 2.58-2.74
K 0.7931 0.7911 0.9376  4 F 2.58-2.74
Mo 0.0000 0.5000 0.5000  6 F 2.06-2.13
Mo 0.5000 0.0000 0.5000  6 F 2.07-2.13
F 0.0014 0.5604 0.2059  1 Mo 2.06
F 0.2001 0.8363 0.4282  2 Mo 2.13
F 0.3064 0.9502 0.7997  1 Mo 2.07
F 0.3464 0.3305 0.4109  2 Mo 2.12-2.13
F 0.6536 0.6695 0.5891  2 Mo 2.12-2.13
F 0.6936 0.0498 0.2003  1 Mo 2.07
F 0.7999 0.1637 0.5718  2 Mo 2.13
F 0.9986 0.4396 0.7941  1 Mo 2.06